First-principles (PBE-GGA) data for an optimized crystal structure of Y2Ag2Bi, as listed in Alexandria via LeMat-Bulk.

a b c (Å): 5.079 5.079 10.999
angles (deg): 90.00 90.00 90.00
Space group I4/mmm (No. 139)
One atom of each set of equivalent atoms:
Y 0.000 0.500 0.250 x4
Ag 0.000 0.000 0.118 x4
Bi 0.000 0.000 0.500 x2

Output
* excess energy over the best structure of this formula in the dataset: 314 meV/atom